(1)
Entry from the Alexandria database: crystalline SbMoAsI2 at its relaxed geometry (PBE-GGA).

Output
- ΔE_f (raw) (meV per atom) = 848
- E above lowest polymorph (meV/atom) = 0

Unit cell a=5.298 b=5.298 c=5.468 alpha=90.00 beta=90.00 gamma=90.00
Sites, in units of the cell vectors:
I 0.500 0.000 0.000
I 0.000 0.500 0.000
As 0.500 0.500 0.500
Mo 0.000 0.000 0.000
Sb 0.000 0.000 0.500

=====

(2)
Entry from the Alexandria database: crystalline ScAl2Si2 at its relaxed geometry (PBE-GGA).

Output
- ΔE_f (raw) (meV per atom) = -183

Unit cell a=6.949 b=6.949 c=3.548 alpha=90.00 beta=90.00 gamma=90.00
Sites, in units of the cell vectors:
Al 0.163 0.663 0.500
Al 0.337 0.163 0.500
Al 0.837 0.337 0.500
Al 0.663 0.837 0.500
Si 0.128 0.372 0.000
Si 0.872 0.628 0.000
Si 0.372 0.872 0.000
Si 0.628 0.128 0.000
Sc 0.500 0.500 0.000
Sc 0.000 0.000 0.000

=====

(3)
Entry from the Alexandria database: crystalline Ce2NpP3Ir4 at its relaxed geometry (PBE-GGA).

Output
- calculated total energy (eV per atom) = -8.49

Unit cell a=4.019 b=4.019 c=11.194 alpha=90.00 beta=90.00 gamma=90.00
Sites, in units of the cell vectors:
Ce 0.500 0.000 0.232
Ce 0.000 0.500 0.768
P 0.000 0.000 0.500
P 0.500 0.000 0.878
P 0.000 0.500 0.122
Ir 0.000 0.500 0.330
Ir 0.500 0.000 0.670
Ir 0.000 0.000 0.000
Ir 0.500 0.500 0.000
Np 0.500 0.500 0.500

=====

(4)
Entry from the Alexandria database: crystalline Na3PSe4 at its relaxed geometry (PBE-GGA).

Output
- ΔE_f (raw) (meV per atom) = -737

Unit cell a=8.654 b=9.871 c=10.147 alpha=90.00 beta=90.00 gamma=90.00
Sites, in units of the cell vectors:
Se 0.404 0.221 0.750
Se 0.343 0.483 0.072
Se 0.343 0.483 0.428
Se 0.843 0.017 0.072
Se 0.904 0.279 0.750
Se 0.843 0.017 0.428
Se 0.505 0.147 0.250
Se 0.495 0.853 0.750
Se 0.096 0.721 0.250
Se 0.157 0.983 0.928
Se 0.657 0.517 0.928
Se 0.005 0.353 0.250
Se 0.995 0.647 0.750
Se 0.157 0.983 0.572
Se 0.657 0.517 0.572
Se 0.596 0.779 0.250
P 0.191 0.511 0.250
P 0.691 0.989 0.250
P 0.309 0.011 0.750
P 0.809 0.489 0.750
Na 0.134 0.056 0.250
Na 0.866 0.944 0.750
Na 0.875 0.718 0.033
Na 0.625 0.218 0.967
Na 0.375 0.782 0.033
Na 0.634 0.444 0.250
Na 0.625 0.218 0.533
Na 0.375 0.782 0.467
Na 0.125 0.282 0.533
Na 0.366 0.556 0.750
Na 0.875 0.718 0.467
Na 0.125 0.282 0.967